Record 1
Entry from the Alexandria database: a relaxed Nd3Cu4Pt4 crystal (PBE-GGA).

Unit cell a=6.583 b=6.583 c=6.583 alpha=109.47 beta=109.47 gamma=109.47
Atoms (fractional coordinates):
Nd1 0.500 0.500 0.000
Nd2 0.500 0.000 0.500
Nd3 0.000 0.500 0.500
Cu1 0.000 0.229 0.000
Cu2 0.000 0.000 0.229
Cu3 0.229 0.000 0.000
Cu4 0.771 0.771 0.771
Pt1 0.000 0.594 0.000
Pt2 0.594 0.000 0.000
Pt3 0.000 0.000 0.594
Pt4 0.406 0.406 0.406

ΔE_f ... -0.531 eV per atom
Theoretical density ... 11.095 g/cm³


Record 2
Entry from the Alexandria database: a relaxed ScSnAu crystal (PBE-GGA).

Unit cell a=3.372 b=3.372 c=6.222 alpha=105.72 beta=105.72 gamma=90.00
Atoms (fractional coordinates):
Sc1 0.303 0.303 0.607
Au1 0.935 0.935 0.870
Sn1 0.612 0.612 0.223

ΔE_f ... -0.528 eV per atom
Theoretical density ... 9.162 g/cm³


Record 3
Entry from the Alexandria database: a relaxed Ta2NiPt7 crystal (PBE-GGA).

Unit cell a=3.910 b=7.741 c=7.741 alpha=123.67 beta=90.00 gamma=90.00
Atoms (fractional coordinates):
Ta1 0.500 0.694 0.306
Ta2 0.500 0.306 0.694
Ni1 0.000 0.000 0.000
Pt1 0.000 0.810 0.190
Pt2 0.000 0.190 0.810
Pt3 0.500 0.090 0.293
Pt4 0.500 0.910 0.707
Pt5 0.500 0.293 0.090
Pt6 0.500 0.707 0.910
Pt7 0.500 0.500 0.500

ΔE_f ... 0.063 eV per atom
Theoretical density ... 15.212 g/cm³


Look up the theoretical density of the second one. 9.162 g/cm³


Number 3 is which compound? Ta2NiPt7


Which of these has the highest theoretical density? Ta2NiPt7


The highest theoretical density belongs to which entry? Ta2NiPt7